Computed, not measured: a crystal of YNbInMo2 relaxed with PBEsol at the SCAN level of DFT.

Unit cell a=4.7146 b=4.7146 c=5.2555 alpha=90.00 beta=90.00 gamma=90.00
Closest atoms and distances in Å follow each position.
Fractional coordinates of all 5 atoms:
Y1 0.5000 0.5000 0.5000  4 In 3.33, 8 Mo 3.53
Mo1 0.0000 0.5000 0.0000  2 Nb 2.36
Mo2 0.5000 0.0000 0.0000  2 Nb 2.36
Nb1 0.0000 0.0000 0.0000  4 Mo 2.36, 2 In 2.63
In1 0.0000 0.0000 0.5000  2 Nb 2.63

Results
total DFT energy (no corrections) = -31.804 eV/atom
formation energy from the elements = 1.022 eV/atom
space group = P4/mmm, No. 123
total magnetization = 0.00 μB per cell